Material: Hg5W4
Method: DFT, PBE
State: optimized geometry

- ΔE_f (kJ/mol of formula units) = 551
- SG = I4/mmm, No. 139
- magnetization (μB/f.u.) = 0.00
- E_tot (eV/atom) = -5.29
- DOS(E_F) (states/eV per atom) = 0.61
- crystal system = tetragonal

a = 7.5475 Å, b = 7.5475 Å, c = 7.5475 Å
α = 92.64°, β = 92.64°, γ = 155.23°
Atoms (fractional coordinates):
Hg: 0.3329 0.3329 0.6659
Hg: 0.3329 0.6671 0.0000
Hg: 0.6671 0.6671 0.3341
Hg: 0.6671 0.3329 0.0000
Hg: 0.0000 0.0000 0.0000
W: 0.3568 0.0000 0.3568
W: 0.0000 0.3568 0.3568
W: 0.0000 0.6432 0.6432
W: 0.6432 0.0000 0.6432



Material: CoAgAs2
Method: DFT, PBE
State: optimized geometry

- ΔE_f (kJ/mol of formula units) = 143
- SG = I-4m2, No. 119
- magnetization (μB/f.u.) = 1.00
- E_tot (eV/atom) = -4.44
- DOS(E_F) (states/eV per atom) = 0.72
- crystal system = tetragonal

a = 5.1441 Å, b = 5.1441 Å, c = 5.1441 Å
α = 135.94°, β = 135.94°, γ = 64.07°
Last column: magnetic moment on the atom in μB.
Atoms (fractional coordinates):
Co: 0.5000 0.5000 0.0000  1.09
As: 0.2500 0.7500 0.5000  -0.01
As: 0.0000 0.0000 0.0000  -0.02
Ag: 0.7500 0.2500 0.5000  -0.01